The following is a DFT calculation (PBE) of crystalline KTa4Cl at its relaxed geometry.

```
KTa4Cl
1.0
0.000 4.118 4.118
4.118 0.000 4.118
4.118 4.118 0.000
K Ta Cl
1 4 1
Direct
0.000 0.000 0.000
0.099 0.634 0.634
0.634 0.099 0.634
0.634 0.634 0.099
0.634 0.634 0.634
0.250 0.250 0.250
```

Calculated values
Its volume is 140 Å³ per cell. The total energy is -7.144 eV/atom.

=====

The following is a DFT calculation (PBE) of crystalline Tc3Br at its relaxed geometry.

```
Tc3Br
1.0
-2.115 2.115 7.260
2.115 -2.115 7.260
2.115 2.115 -7.260
Tc Br
6 2
Direct
0.000 0.500 0.500
0.150 0.150 0.000
0.250 0.750 0.500
0.500 0.000 0.500
0.750 0.250 0.500
0.850 0.850 0.000
0.399 0.399 0.000
0.601 0.601 0.000
```

Calculated values
Its volume is 130 Å³ per cell. The energy relative to the lowest polymorph listed for this composition comes out at 0.437 eV/atom.

=====

The following is a DFT calculation (PBE) of crystalline Li2CeTmGe2 at its relaxed geometry.

```
Li2CeTmGe2
1.0
4.430 0.000 0.000
-2.215 3.837 0.000
0.000 0.000 7.245
Li Ce Tm Ge
2 1 1 2
Direct
0.333 0.667 0.214
0.667 0.333 0.786
0.000 0.000 0.500
0.000 0.000 0.000
0.333 0.667 0.760
0.667 0.333 0.240
```

Calculated values
The calculation puts the energy of formation at -614 meV per atom. Its volume is 123 Å³ per cell.

=====

The following is a DFT calculation (PBE) of crystalline Nd2SnRh at its relaxed geometry.

```
Nd2SnRh
1.0
3.550 0.000 0.000
0.000 3.550 0.000
0.000 0.000 8.141
Nd Sn Rh
2 1 1
Direct
0.000 0.000 0.215
0.000 0.000 0.785
0.500 0.500 0.500
0.500 0.500 0.000
```

Calculated values
The calculation puts the energy of formation at -663 meV per atom. Its volume is 103 Å³ per cell.

=====

The following is a DFT calculation (PBE) of crystalline Ge2AsP at its relaxed geometry.

```
Ge2AsP
1.0
1.822 1.052 6.583
-1.822 1.052 6.583
0.000 -2.104 6.583
Ge As P
2 1 1
Direct
0.000 0.000 0.000
0.179 0.179 0.179
0.759 0.759 0.759
0.587 0.587 0.587
```

Calculated values
The calculation puts the energy of formation at 179 meV per atom. Its volume is 76 Å³ per cell. The energy relative to the lowest polymorph listed for this composition comes out at 0.059 eV/atom.

=====

The following is a DFT calculation (PBE) of crystalline ZrMnBr at its relaxed geometry.

```
ZrMnBr
1.0
-1.602 1.602 6.769
1.602 -1.602 6.769
1.602 1.602 -6.769
Zr Mn Br
1 1 1
Direct
0.000 0.000 0.000
0.362 0.362 0.000
0.638 0.638 0.000
```

Calculated values
Its volume is 69 Å³ per cell. The total energy is -6.485 eV/atom.

=====

The following is a DFT calculation (PBE) of crystalline CePm3Dy2S6 at its relaxed geometry.

```
CePm3Dy2S6
1.0
3.447 -5.985 0.000
3.447 5.985 0.000
-2.316 0.000 6.522
Ce Pm Dy S
1 3 2 6
Direct
0.000 0.000 0.000
0.166 0.834 0.500
0.500 0.500 0.500
0.834 0.166 0.500
0.333 0.667 0.000
0.667 0.333 0.000
0.081 0.419 0.242
0.259 0.259 0.759
0.419 0.081 0.242
0.581 0.919 0.758
0.741 0.741 0.241
0.919 0.581 0.758
```

Calculated values
Its volume is 269 Å³ per cell. The total energy is -6.541 eV/atom.

=====

The following is a DFT calculation (PBE) of crystalline KEr4Hg5 at its relaxed geometry.

```
KEr4Hg5
1.0
3.717 0.000 0.000
0.000 3.717 0.000
0.000 0.000 19.459
K Er Hg
1 4 5
Direct
0.000 0.000 0.000
0.000 0.000 0.217
0.000 0.000 0.406
0.000 0.000 0.594
0.000 0.000 0.783
0.500 0.500 0.131
0.500 0.500 0.312
0.500 0.500 0.500
0.500 0.500 0.688
0.500 0.500 0.869
```

Calculated values
The calculation puts the energy of formation at -413 meV per atom. Its volume is 269 Å³ per cell.

=====

The following is a DFT calculation (PBE) of crystalline Sc3HRu at its relaxed geometry.

```
Sc3HRu
1.0
4.994 0.000 0.000
0.000 4.994 0.000
0.000 0.000 4.994
Sc H Ru
3 1 1
Direct
0.000 0.000 0.500
0.000 0.500 0.000
0.500 0.000 0.000
0.500 0.500 0.500
0.000 0.000 0.000
```

Calculated values
Its volume is 125 Å³ per cell. The energy relative to the lowest polymorph listed for this composition comes out at 0.653 eV/atom.

=====

The following is a DFT calculation (PBE) of crystalline LiHo2TcO6 at its relaxed geometry.

```
LiHo2TcO6
1.0
2.748 1.586 4.844
-2.748 1.586 4.844
0.000 -3.173 4.844
Li Ho Tc O
1 2 1 6
Direct
0.000 0.000 0.000
0.230 0.230 0.230
0.734 0.734 0.734
0.526 0.526 0.526
0.174 0.415 0.784
0.320 0.887 0.640
0.415 0.784 0.174
0.640 0.320 0.887
0.784 0.174 0.415
0.887 0.640 0.320
```

Calculated values
Its volume is 127 Å³ per cell. The total energy is -7.670 eV/atom.

=====

The following is a DFT calculation (PBE) of crystalline K2AgBr at its relaxed geometry.

```
K2AgBr
1.0
4.832 0.000 0.000
0.000 6.863 0.000
0.000 0.000 4.839
K Ag Br
2 1 1
Direct
0.000 0.000 0.000
0.499 0.500 0.503
0.500 0.000 0.500
0.999 0.500 0.002
```

Calculated values
Its volume is 160 Å³ per cell. The energy relative to the lowest polymorph listed for this composition comes out at 0.012 eV/atom.

=====

The following is a DFT calculation (PBE) of crystalline FeIrRu2 at its relaxed geometry.

```
FeIrRu2
1.0
1.350 0.779 8.697
-1.350 0.779 8.697
0.000 -1.559 8.697
Fe Ir Ru
1 1 2
Direct
0.000 0.000 0.000
0.500 0.500 0.500
0.252 0.252 0.252
0.748 0.748 0.748
```

Calculated values
The calculation puts the energy of formation at 119 meV per atom. Its volume is 55 Å³ per cell. The energy relative to the lowest polymorph listed for this composition comes out at 0.119 eV/atom.

=====

The following is a DFT calculation (PBE) of crystalline BaLa2Cr at its relaxed geometry.

```
BaLa2Cr
1.0
3.923 0.000 0.000
0.000 3.910 0.000
-0.006 0.000 9.509
Ba La Cr
1 2 1
Direct
0.000 0.000 0.000
0.000 0.000 0.594
0.498 0.500 0.339
0.500 0.500 0.757
```

Calculated values
The calculation puts the energy of formation at 388 meV per atom. Its volume is 146 Å³ per cell. The energy relative to the lowest polymorph listed for this composition comes out at 0.075 eV/atom.

=====

The following is a DFT calculation (PBE) of crystalline KRb4Re3O12 at its relaxed geometry.

```
KRb4Re3O12
1.0
-4.193 4.193 4.193
4.193 -4.193 4.193
4.193 4.193 -4.193
K Rb Re O
1 4 3 12
Direct
0.000 0.000 0.000
0.000 0.000 0.500
0.000 0.500 0.000
0.500 0.000 0.000
0.500 0.500 0.500
0.000 0.500 0.500
0.500 0.000 0.500
0.500 0.500 0.000
0.000 0.286 0.286
0.000 0.714 0.714
0.250 0.500 0.750
0.250 0.750 0.500
0.286 0.000 0.286
0.286 0.286 0.000
0.500 0.250 0.750
0.500 0.750 0.250
0.714 0.000 0.714
0.714 0.714 0.000
0.750 0.250 0.500
0.750 0.500 0.250
```

Calculated values
Its volume is 295 Å³ per cell. The total energy is -6.614 eV/atom.

=====

The following is a DFT calculation (PBE) of crystalline CeGa4AgAu2 at its relaxed geometry.

```
CeGa4AgAu2
1.0
2.231 1.288 8.950
-2.231 1.288 8.950
0.000 -2.576 8.950
Ce Ga Ag Au
1 4 1 2
Direct
0.000 0.000 0.000
0.124 0.124 0.124
0.393 0.393 0.393
0.607 0.607 0.607
0.876 0.876 0.876
0.500 0.500 0.500
0.246 0.246 0.246
0.754 0.754 0.754
```

Calculated values
The calculation puts the energy of formation at -319 meV per atom. Its volume is 154 Å³ per cell.

=====

The following is a DFT calculation (PBE) of crystalline NdCuPd4 at its relaxed geometry.

```
NdCuPd4
1.0
0.000 3.785 3.785
3.785 0.000 3.785
3.785 3.785 0.000
Nd Cu Pd
1 1 4
Direct
0.000 0.000 0.000
0.750 0.750 0.750
0.376 0.376 0.376
0.376 0.376 0.873
0.376 0.873 0.376
0.873 0.376 0.376
```

Calculated values
The calculation puts the energy of formation at -426 meV per atom. Its volume is 108 Å³ per cell. The energy relative to the lowest polymorph listed for this composition comes out at 0.027 eV/atom.

=====

The following is a DFT calculation (PBE) of crystalline Zr2HgHAu at its relaxed geometry.

```
Zr2HgHAu
1.0
4.430 0.000 0.000
0.000 4.430 0.000
0.000 0.000 4.306
Zr Hg H Au
2 1 1 1
Direct
0.000 0.500 0.000
0.500 0.000 0.000
0.000 0.000 0.500
0.500 0.500 0.000
0.500 0.500 0.500
```

Calculated values
Its volume is 85 Å³ per cell. The energy relative to the lowest polymorph listed for this composition comes out at 0.000 eV/atom.

=====

The following is a DFT calculation (PBE) of crystalline Cs2NaAsPt at its relaxed geometry.

```
Cs2NaAsPt
1.0
7.194 0.000 0.000
0.000 7.194 0.000
0.000 0.000 4.624
Cs Na As Pt
2 1 1 1
Direct
0.000 0.500 0.000
0.500 0.000 0.000
0.000 0.000 0.500
0.500 0.500 0.500
0.500 0.500 0.000
```

Calculated values
The calculation puts the energy of formation at -190 meV per atom. Its volume is 239 Å³ per cell. The energy relative to the lowest polymorph listed for this composition comes out at 0.000 eV/atom.